# BaLa2Fe, relaxed, DFT PBE
# - Spin magnetization: 2.454 μB per cell
# - E_tot: -17.9 eV per formula unit
# - Formation energy: 0.58 eV per atom
data_BaLa2Fe
_chemical_formula_sum 'Ba1 La2 Fe1'
_space_group_name_H-M_alt 'P 4/m m m'
_space_group_IT_number 123
_space_group_name_Hall '-P 4 2'
_cell_length_a 4.999
_cell_length_b 4.999
_cell_length_c 5.223
_cell_angle_alpha 90.00
_cell_angle_beta 90.00
_cell_angle_gamma 90.00
loop_
_atom_site_label
_atom_site_type_symbol
_atom_site_fract_x
_atom_site_fract_y
_atom_site_fract_z
Ba1 Ba 0.000 0.000 0.000
La1 La 0.000 0.500 0.500
Fe1 Fe 0.500 0.500 0.000